No. 1
Tm5Sc12Tl2: optimized geometry, GGA-PBE.

Cell lengths 8.5958, 8.5958, 7.7542 Å; angles 90.49, 90.49, 60.19 degrees
Positions (direct):
1 Tm 0.0000 0.0000 0.0000
2 Tm 0.2397 0.2397 0.0815
3 Tm 0.3084 0.3084 0.5041
4 Tm 0.6916 0.6916 0.4959
5 Tm 0.7603 0.7603 0.9185
6 Sc 0.0303 0.6614 0.2577
7 Sc 0.0926 0.0926 0.3960
8 Sc 0.1785 0.5719 0.8450
9 Sc 0.3386 0.9697 0.7423
10 Sc 0.4281 0.8215 0.1550
11 Sc 0.4507 0.4507 0.1738
12 Sc 0.5493 0.5493 0.8262
13 Sc 0.5719 0.1785 0.8450
14 Sc 0.6614 0.0303 0.2577
15 Sc 0.8215 0.4281 0.1550
16 Sc 0.9074 0.9074 0.6040
17 Sc 0.9697 0.3386 0.7423
18 Tl 0.3038 0.6962 0.5000
19 Tl 0.6962 0.3038 0.5000

Values from the calculation:
Total moment, μB per formula unit: 0.00
Calculated formation energy, eV/atom: 0.03
Calculated total energy, eV/atom: -5.399
Density of states at the Fermi level, states/eV/atom: 1.5737


No. 2
BeP2Se: optimized geometry, GGA-PBE.

Cell lengths 4.4051, 4.4051, 3.0949 Å; angles 90.00, 90.00, 90.00 degrees
Positions (direct):
1 Be 0.0000 0.0000 0.0000
2 P 0.0000 0.5000 0.5000
3 P 0.5000 0.0000 0.5000
4 Se 0.5000 0.5000 0.0000

Values from the calculation:
Uncorrected formation energy, meV/atom: 768
Total moment, μB per formula unit: 0.00
Calculated total energy, eV/atom: -3.740
Density of states at the Fermi level, states/eV/atom: 0.3603
Energy above the most stable polymorph in this dataset, meV per atom: 1038


No. 3
SrCuSb2: optimized geometry, GGA-PBE.

Cell lengths 3.8724, 3.8724, 7.0835 Å; angles 90.00, 90.00, 90.00 degrees
Positions (direct):
1 Sr 0.0000 0.0000 0.0000
2 Cu 0.5000 0.5000 0.3372
3 Sb 0.0000 0.0000 0.4584
4 Sb 0.5000 0.5000 0.7142

Values from the calculation:
Uncorrected formation energy, meV/atom: -147
Total moment, μB per formula unit: 0.00
Calculated total energy, eV/atom: -3.652
Density of states at the Fermi level, states/eV/atom: 0.2544


No. 4
Rb3Cl6F: optimized geometry, GGA-PBE.

Cell lengths 7.5473, 7.5473, 7.5473 Å; angles 111.28, 111.28, 105.91 degrees
Positions (direct):
1 Rb 0.0000 0.0000 0.0000
2 Rb 0.2500 0.7500 0.5000
3 Rb 0.7500 0.2500 0.5000
4 Cl 0.2492 0.2492 0.4985
5 Cl 0.2492 0.7508 0.0000
6 Cl 0.2916 0.2916 0.0000
7 Cl 0.7084 0.7084 0.0000
8 Cl 0.7508 0.2492 0.0000
9 Cl 0.7508 0.7508 0.5015
10 F 0.5000 0.5000 0.0000

Values from the calculation:
Uncorrected formation energy, meV/atom: -799
Total moment, μB per formula unit: 2.00
Calculated total energy, eV/atom: -2.385
Density of states at the Fermi level, states/eV/atom: 0.6772